1.
# TiCuMo2 (PBE-GGA, optimized geometry)
# - density of states at the Fermi level (states/eV per atom) = 1.053
# - E above lowest polymorph (meV per atom) = 283.4
# - magnetization (Bohr magnetons per cell) = 0.0
# - DFT total energy (eV per atom) = -7.819
data_TiCuMo2
_cell_length_a 7.060
_cell_length_b 7.060
_cell_length_c 5.162
_cell_angle_alpha 90.00
_cell_angle_beta 90.00
_cell_angle_gamma 90.00
_space_group_name_H-M_alt 'I -4 2 d'
_space_group_IT_number 122
_space_group_name_Hall 'I -4 2bw'
loop_
_atom_site_label
_atom_site_type_symbol
_atom_site_fract_x
_atom_site_fract_y
_atom_site_fract_z
Ti1 Ti 0.000 0.000 0.000
Cu1 Cu 0.000 0.000 0.500
Mo1 Mo 0.233 0.250 0.625

***

2.
# TiVCuMo (PBE-GGA, optimized geometry)
# - density of states at the Fermi level (states/eV per atom) = 1.109
# - magnetization (Bohr magnetons per cell) = 0.0
# - DFT total energy (eV per atom) = -7.992
data_TiVCuMo
_cell_length_a 6.136
_cell_length_b 6.136
_cell_length_c 6.136
_cell_angle_alpha 90.00
_cell_angle_beta 90.00
_cell_angle_gamma 90.00
_space_group_name_H-M_alt 'F -4 3 m'
_space_group_IT_number 216
_space_group_name_Hall 'F -4 2 3'
loop_
_atom_site_label
_atom_site_type_symbol
_atom_site_fract_x
_atom_site_fract_y
_atom_site_fract_z
Ti1 Ti 0.000 0.000 0.000
V1 V 0.000 0.000 0.500
Cu1 Cu 0.250 0.250 0.250
Mo1 Mo 0.250 0.250 0.750

***

3.
# TiVCuMo2 (PBE-GGA, optimized geometry)
# - density of states at the Fermi level (states/eV per atom) = 0.947
# - magnetization (Bohr magnetons per cell) = 0.0
# - DFT total energy (eV per atom) = -7.045
data_TiVCuMo2
_cell_length_a 4.527
_cell_length_b 4.527
_cell_length_c 4.352
_cell_angle_alpha 90.00
_cell_angle_beta 90.00
_cell_angle_gamma 90.00
_space_group_name_H-M_alt 'P 4/m m m'
_space_group_IT_number 123
_space_group_name_Hall '-P 4 2'
loop_
_atom_site_label
_atom_site_type_symbol
_atom_site_fract_x
_atom_site_fract_y
_atom_site_fract_z
Ti1 Ti 0.000 0.000 0.000
V1 V 0.000 0.000 0.500
Cu1 Cu 0.500 0.500 0.500
Mo1 Mo 0.000 0.500 0.000